Material: NdScSi
Method: DFT, GGA-PBE
State: optimized geometry

Results
**Space group**: P4/nmm (129)
**Magnetic moment**: 2.24 Bohr magnetons per cell
**Raw formation energy**: -0.6041 eV/atom
**Polymorph energy (0 for the lowest one)**: 18 meV/atom

The structure in POSCAR format:
```
NdScSi
1.0
4.307 0.000 0.000
0.000 4.307 0.000
0.000 0.000 7.865
Nd Sc Si
2 2 2
Direct
0.000 0.500 0.855 Nd
0.500 0.000 0.145 Nd
0.500 0.500 0.500 Sc
0.000 0.000 0.500 Sc
0.000 0.500 0.263 Si
0.500 0.000 0.737 Si
```